1.
Material: Be17RhW
Method: DFT, PBE-GGA
State: optimized geometry

Lattice parameters (Å, degrees): 5.477 5.477 5.477 83.02 83.02 83.02
Element x y z (fractional)
Be  0.000  0.500  0.500
Be  0.050  0.050  0.050
Be  0.139  0.139  0.657
Be  0.139  0.657  0.139
Be  0.153  0.448  0.847
Be  0.153  0.847  0.448
Be  0.254  0.254  0.254
Be  0.316  0.798  0.798
Be  0.448  0.153  0.847
Be  0.448  0.847  0.153
Be  0.500  0.000  0.500
Be  0.500  0.500  0.000
Be  0.657  0.139  0.139
Be  0.798  0.316  0.798
Be  0.798  0.798  0.316
Be  0.847  0.153  0.448
Be  0.847  0.448  0.153
Rh  0.491  0.491  0.491
W  0.810  0.810  0.810

Values from the calculation:
The formation enthalpy at 0 K comes out at -0.176 eV per atom. As for the density of states at the Fermi level: 2.792 states/eV per cell. The value obtained for the total energy is -4.579 eV per atom.



2.
Material: Tb8Er2Cd
Method: DFT, PBE-GGA
State: optimized geometry

Lattice parameters (Å, degrees): 6.101 6.101 12.542 103.35 103.35 48.18
Element x y z (fractional)
Tb  0.038  0.038  0.322
Tb  0.139  0.139  0.953
Tb  0.240  0.240  0.589
Tb  0.409  0.409  0.861
Tb  0.591  0.591  0.139
Tb  0.760  0.760  0.411
Tb  0.861  0.861  0.047
Tb  0.962  0.962  0.678
Er  0.314  0.314  0.235
Er  0.686  0.686  0.765
Cd  0.500  0.500  0.500

Values from the calculation:
The value obtained for the energy above the most stable polymorph in this dataset is 0 meV per atom. The formation enthalpy at 0 K comes out at -0.009 eV per atom. As for the density of states at the Fermi level: 16.700 states/eV per cell. The value obtained for the total energy is -4.289 eV per atom.



3.
Material: AcGdSbI
Method: DFT, PBE-GGA
State: optimized geometry

Lattice parameters (Å, degrees): 5.641 5.641 5.641 60.00 60.00 60.00
Element x y z (fractional)
Ac  0.000  0.000  0.000
Gd  0.500  0.500  0.500
Sb  0.250  0.250  0.250
I  0.750  0.750  0.750

Values from the calculation:
As for the density of states at the Fermi level: 6.327 states/eV per cell. Its formation energy (no corrections) is -0.96 eV per atom. The value obtained for the total energy is -6.923 eV per atom.



4.
Material: HfFeRu3
Method: DFT, PBE-GGA
State: optimized geometry

Lattice parameters (Å, degrees): 4.397 4.397 4.397 90.00 90.00 90.00
Element x y z (fractional)
Hf  0.000  0.000  0.000
Fe  0.500  0.500  0.500
Ru  0.000  0.500  0.500
Ru  0.500  0.000  0.500
Ru  0.500  0.500  0.000

Values from the calculation:
The formation enthalpy at 0 K comes out at 0.771 eV per atom. As for the density of states at the Fermi level: 9.126 states/eV per cell. The value obtained for the total energy is -8.478 eV per atom.



5.
Material: GdLuThTi
Method: DFT, PBE-GGA
State: optimized geometry

Lattice parameters (Å, degrees): 5.378 5.378 5.378 60.00 60.00 60.00
Element x y z (fractional)
Gd  0.000  0.000  0.000
Lu  0.750  0.750  0.750
Th  0.500  0.500  0.500
Ti  0.250  0.250  0.250

Values from the calculation:
The formation enthalpy at 0 K comes out at 0.210 eV per atom. As for the density of states at the Fermi level: 7.057 states/eV per cell. The value obtained for the total energy is -8.269 eV per atom.



6.
Material: Ac2PmPr5Tm
Method: DFT, PBE-GGA
State: optimized geometry

Lattice parameters (Å, degrees): 10.893 10.893 11.057 90.00 90.00 148.78
Element x y z (fractional)
Ac  0.112  0.888  0.500
Ac  0.118  0.882  0.084
Ac  0.882  0.118  0.584
Ac  0.888  0.112  0.000
Pm  0.206  0.794  0.773
Pm  0.794  0.206  0.273
Pr  0.019  0.981  0.788
Pr  0.282  0.718  0.074
Pr  0.294  0.706  0.464
Pr  0.392  0.608  0.789
Pr  0.482  0.518  0.510
Pr  0.518  0.482  0.010
Pr  0.608  0.392  0.289
Pr  0.706  0.294  0.964
Pr  0.718  0.282  0.574
Pr  0.981  0.019  0.288
Tm  0.407  0.593  0.234
Tm  0.593  0.407  0.734

Values from the calculation:
The formation enthalpy at 0 K comes out at 0.126 eV per atom. As for the density of states at the Fermi level: 25.721 states/eV per cell. The value obtained for the total energy is -4.467 eV per atom.



7.
Material: Ti4ZnGe2
Method: DFT, PBE-GGA
State: optimized geometry

Lattice parameters (Å, degrees): 5.027 5.456 8.753 90.00 103.40 90.00
Element x y z (fractional)
Ti  0.013  0.250  0.314
Ti  0.132  0.250  0.950
Ti  0.461  0.501  0.235
Ti  0.461  0.999  0.235
Ti  0.539  0.001  0.765
Ti  0.539  0.499  0.765
Ti  0.868  0.750  0.050
Ti  0.987  0.750  0.686
Zn  0.052  0.250  0.651
Zn  0.948  0.750  0.349
Ge  0.317  0.750  0.965
Ge  0.431  0.750  0.499
Ge  0.569  0.250  0.501
Ge  0.683  0.250  0.035

Values from the calculation:
The formation enthalpy at 0 K comes out at -0.314 eV per atom. As for the density of states at the Fermi level: 15.068 states/eV per cell. The value obtained for the total energy is -6.326 eV per atom.



8.
Material: SrTaNi2I
Method: DFT, PBE-GGA
State: optimized geometry

Lattice parameters (Å, degrees): 4.731 4.731 5.696 90.00 90.00 90.00
Element x y z (fractional)
Sr  0.000  0.000  0.000
Ta  0.500  0.500  0.500
Ni  0.000  0.500  0.000
Ni  0.500  0.000  0.000
I  0.000  0.000  0.500

Values from the calculation:
As for the density of states at the Fermi level: 10.174 states/eV per cell. Its formation energy (no corrections) is 1.97 eV per atom. The value obtained for the total energy is -3.363 eV per atom.



9.
Material: HgPd3Ru
Method: DFT, PBE-GGA
State: optimized geometry

Lattice parameters (Å, degrees): 4.819 4.819 4.819 90.00 90.00 90.00
Element x y z (fractional)
Hg  0.000  0.000  0.000
Pd  0.000  0.500  0.500
Pd  0.500  0.000  0.500
Pd  0.500  0.500  0.000
Ru  0.500  0.500  0.500

Values from the calculation:
The value obtained for the energy above the most stable polymorph in this dataset is 0 meV per atom. The formation enthalpy at 0 K comes out at 1.052 eV per atom. As for the density of states at the Fermi level: 6.541 states/eV per cell. The value obtained for the total energy is -3.979 eV per atom.



10.
Material: Ag3BiPd6
Method: DFT, PBE-GGA
State: optimized geometry

Lattice parameters (Å, degrees): 7.712 4.726 10.163 90.00 111.82 90.00
Element x y z (fractional)
Ag  0.053  0.250  0.369
Ag  0.131  0.750  0.215
Ag  0.261  0.250  0.975
Ag  0.739  0.750  0.025
Ag  0.869  0.250  0.785
Ag  0.947  0.750  0.631
Bi  0.453  0.250  0.600
Bi  0.547  0.750  0.400
Pd  0.041  0.750  0.925
Pd  0.155  0.250  0.678
Pd  0.235  0.750  0.521
Pd  0.337  0.750  0.821
Pd  0.360  0.250  0.271
Pd  0.437  0.750  0.112
Pd  0.563  0.250  0.888
Pd  0.640  0.750  0.729
Pd  0.663  0.250  0.179
Pd  0.765  0.250  0.479
Pd  0.845  0.750  0.322
Pd  0.959  0.250  0.075

Values from the calculation:
The value obtained for the energy above the most stable polymorph in this dataset is 0 meV per atom. The formation enthalpy at 0 K comes out at -0.084 eV per atom. As for the density of states at the Fermi level: 7.139 states/eV per cell. The value obtained for the total energy is -4.443 eV per atom.



11.
Material: PaNb2S8
Method: DFT, PBE-GGA
State: optimized geometry

Lattice parameters (Å, degrees): 7.540 7.540 7.543 90.00 90.00 120.00
Element x y z (fractional)
Pa  0.000  0.000  0.000
Nb  0.333  0.667  0.292
Nb  0.667  0.333  0.708
S  0.163  0.326  0.201
S  0.163  0.837  0.201
S  0.326  0.163  0.799
S  0.333  0.667  0.582
S  0.667  0.333  0.418
S  0.674  0.837  0.201
S  0.837  0.163  0.799
S  0.837  0.674  0.799

Values from the calculation:
As for the density of states at the Fermi level: 8.938 states/eV per cell. Its formation energy (no corrections) is -0.73 eV per atom. The value obtained for the total energy is -6.427 eV per atom.



12.
Material: KLaTe2
Method: DFT, PBE-GGA
State: optimized geometry

Lattice parameters (Å, degrees): 5.291 6.484 6.484 38.46 90.00 90.00
Element x y z (fractional)
K  0.000  0.000  0.000
La  0.500  0.775  0.775
Te  0.000  0.262  0.262
Te  0.500  0.496  0.496

Values from the calculation:
As for the density of states at the Fermi level: 0.300 states/eV per cell. Its formation energy (no corrections) is -1.25 eV per atom. The value obtained for the total energy is -4.323 eV per atom.